[1]
Compound: Ag2H3Pd5
Source: the Alexandria database
Functional: GGA-PBE
Structure: optimized geometry

Calculated values
excess energy over the best structure of this formula in the dataset = 0.00 eV per formula unit
crystal system = monoclinic
spin magnetization = 0.00 μB per cell
space-group type = C2/c (15)

Cell: 5.6992 8.6454 8.6454 Å, 65.57 51.19 51.19°
Fractional positions:
Ag (0.1249, 0.1139, 0.6373)
Ag (0.8751, 0.8861, 0.3627)
Ag (0.6249, 0.6373, 0.1139)
Ag (0.3751, 0.3627, 0.8861)
H (0.7500, 0.8745, 0.1255)
H (0.2500, 0.1255, 0.8745)
H (0.2782, 0.6848, 0.5475)
H (0.7218, 0.3152, 0.4525)
H (0.7782, 0.5475, 0.6848)
H (0.2218, 0.4525, 0.3152)
Pd (0.7500, 0.4972, 0.5028)
Pd (0.2500, 0.5028, 0.4972)
Pd (0.0475, 0.7798, 0.7794)
Pd (0.4525, 0.2206, 0.2202)
Pd (0.9525, 0.2202, 0.2206)
Pd (0.5475, 0.7794, 0.7798)
Pd (0.3762, 0.8867, 0.3617)
Pd (0.6238, 0.1133, 0.6383)
Pd (0.8762, 0.3617, 0.8867)
Pd (0.1238, 0.6383, 0.1133)

[2]
Compound: Ag3H4Pd4
Source: the Alexandria database
Functional: GGA-PBE
Structure: optimized geometry

Calculated values
crystal system = triclinic
spin magnetization = 0.00 μB per cell
space-group type = P-1 (2)

Cell: 2.9152 10.9002 6.1612 Å, 121.28 76.38 74.28°
Fractional positions:
Ag (0.0107, 0.2578, 0.4651)
Ag (0.9892, 0.7422, 0.5349)
Ag (0.0000, 0.5000, 0.0000)
H (0.8337, 0.9170, 0.4992)
H (0.1663, 0.0830, 0.5008)
H (0.1695, 0.8157, 0.0309)
H (0.8305, 0.1843, 0.9691)
Pd (0.4833, 0.1456, 0.7422)
Pd (0.4801, 0.3908, 0.2591)
Pd (0.5167, 0.8544, 0.2578)
Pd (0.5199, 0.6092, 0.7409)

[3]
Compound: Ag2HPd2
Source: the Alexandria database
Functional: GGA-PBE
Structure: optimized geometry

Calculated values
excess energy over the best structure of this formula in the dataset = 1.62 eV per formula unit
crystal system = tetragonal
spin magnetization = 0.00 μB per cell
space-group type = P4/mbm (127)

Cell: 5.4369 5.4369 4.9408 Å, 90.00 90.00 90.00°
Fractional positions:
H (0.0000, 0.0000, 0.0000)
H (0.5000, 0.5000, 0.0000)
Pd (0.1726, 0.6726, 0.5000)
Pd (0.6726, 0.8274, 0.5000)
Pd (0.8274, 0.3274, 0.5000)
Pd (0.3274, 0.1726, 0.5000)
Ag (0.3227, 0.8227, 0.0000)
Ag (0.8227, 0.6773, 0.0000)
Ag (0.6773, 0.1773, 0.0000)
Ag (0.1773, 0.3227, 0.0000)

[4]
Compound: Ag3HPd
Source: the Alexandria database
Functional: GGA-PBE
Structure: optimized geometry

Calculated values
excess energy over the best structure of this formula in the dataset = 0.00 eV per formula unit
crystal system = orthorhombic
spin magnetization = 0.00 μB per cell
space-group type = I2_12_12_1 (24)

Cell: 5.7389 5.9431 5.7459 Å, 61.06 90.00 118.87°
Fractional positions:
Ag (0.7112, 0.9856, 0.2573)
Ag (0.2255, 0.0142, 0.7429)
Ag (0.2113, 0.9858, 0.2571)
Ag (0.2183, 0.4997, 0.7227)
Ag (0.7256, 0.0144, 0.7427)
Ag (0.7185, 0.5003, 0.2773)
H (0.4688, 0.5010, 0.9997)
H (0.9678, 0.4990, 0.0003)
Pd (0.7182, 0.4999, 0.7789)
Pd (0.2183, 0.5001, 0.2211)

[5]
Compound: AgH7Pd12
Source: the Alexandria database
Functional: GGA-PBE
Structure: optimized geometry

Calculated values
crystal system = triclinic
spin magnetization = 0.00 μB per cell
space-group type = P1 (1)

Cell: 6.4837 6.4587 6.4559 Å, 107.49 107.54 107.48°
Fractional positions:
Ag (0.0076, 0.9991, 0.0021)
H (0.9049, 0.5841, 0.8313)
H (0.4233, 0.1709, 0.1029)
H (0.0994, 0.0787, 0.4141)
H (0.4778, 0.4633, 0.5205)
H (0.8269, 0.8950, 0.5831)
H (0.5959, 0.9010, 0.9264)
H (0.0855, 0.4116, 0.1008)
Pd (0.9315, 0.3062, 0.7688)
Pd (0.7005, 0.2333, 0.0774)
Pd (0.4689, 0.1518, 0.3899)
Pd (0.8558, 0.6126, 0.5393)
Pd (0.2399, 0.0735, 0.6934)
Pd (0.6179, 0.5374, 0.8494)
Pd (0.3954, 0.4625, 0.1548)
Pd (0.7720, 0.9228, 0.3064)
Pd (0.1592, 0.3903, 0.4640)
Pd (0.5420, 0.8461, 0.6122)
Pd (0.3140, 0.7666, 0.9276)
Pd (0.0815, 0.6930, 0.2354)

[6]
Compound: AgH3Pd2
Source: the Alexandria database
Functional: GGA-PBE
Structure: optimized geometry

Calculated values
excess energy over the best structure of this formula in the dataset = 0.38 eV per formula unit
crystal system = orthorhombic
spin magnetization = 0.00 μB per cell
space-group type = Cmmm (65)

Cell: 4.9819 5.4911 5.6812 Å, 118.90 116.00 90.00°
Fractional positions:
Ag (0.4999, 0.2500, 0.5000)
Ag (0.5001, 0.7500, 0.5000)
H (0.0000, 0.7493, 0.0000)
H (0.0000, 0.2507, 0.0000)
H (0.5000, 0.7507, 0.0000)
H (0.0000, 0.0000, 0.5000)
H (0.0000, 0.5000, 0.5000)
H (0.5000, 0.2493, 0.0000)
Pd (0.1673, 0.9172, 0.8343)
Pd (0.1671, 0.4172, 0.8343)
Pd (0.8329, 0.5828, 0.1657)
Pd (0.8327, 0.0828, 0.1657)

DFT total energy in eV per atom, matching the order above: -4.14 -3.90 -3.63 -3.42 -4.49 -3.84